# 1
Compound: LiCd5Pt4
Source: Alexandria via LeMat-Bulk
Functional: PBE-GGA
Structure: optimized geometry

Geometry as POSCAR:
```
LiCd5Pt4
1.0
2.9849 0.0000 0.0000
0.0000 3.9099 0.0000
0.0000 0.0000 15.0579
Li Cd Pt
1 5 4
direct
0.0000 0.0000 0.0000 Li
0.5000 0.5000 0.0997 Cd
0.5000 0.5000 0.3000 Cd
0.5000 0.5000 0.5000 Cd
0.5000 0.5000 0.7000 Cd
0.5000 0.5000 0.9003 Cd
0.0000 0.0000 0.1975 Pt
0.0000 0.0000 0.4002 Pt
0.0000 0.0000 0.5998 Pt
0.0000 0.0000 0.8025 Pt
```

Values from the calculation:
Formation energy   -0.32 eV/atom
Total moment   0.0 Bohr magnetons per cell

=====

# 2
Compound: LiAc2BPt6
Source: Alexandria via LeMat-Bulk
Functional: PBE-GGA
Structure: optimized geometry

Geometry as POSCAR:
```
LiAc2BPt6
1.0
2.8995 1.6740 6.6281
-2.8995 1.6740 6.6281
0.0000 -3.3480 6.6281
Li Ac B Pt
1 2 1 6
direct
0.0000 0.0000 0.0000 Li
0.2849 0.2849 0.2849 Ac
0.7151 0.7151 0.7151 Ac
0.5000 0.5000 0.5000 B
0.2151 0.7363 0.7363 Pt
0.2637 0.2637 0.7849 Pt
0.2637 0.7849 0.2637 Pt
0.7363 0.2151 0.7363 Pt
0.7363 0.7363 0.2151 Pt
0.7849 0.2637 0.2637 Pt
```

Values from the calculation:
Formation energy   -0.83 eV/atom
Total moment   0.0 Bohr magnetons per cell

=====

# 3
Compound: AgRhIO2
Source: Alexandria via LeMat-Bulk
Functional: PBE-GGA
Structure: optimized geometry

Geometry as POSCAR:
```
AgRhIO2
1.0
3.9539 0.0000 0.0000
0.0000 3.9539 0.0000
0.0000 0.0000 6.7377
Ag Rh I O
1 1 1 2
direct
0.0000 0.0000 0.0000 Ag
0.5000 0.5000 0.5000 Rh
0.0000 0.0000 0.5000 I
0.0000 0.5000 0.0000 O
0.5000 0.0000 0.0000 O
```

Values from the calculation:
Formation energy (no corrections)   3.679 eV per formula unit
Distance to the lowest polymorph of the same formula   0.8406 eV/atom
Total moment   2.8 Bohr magnetons per cell

=====

# 4
Compound: BaAg3Pt
Source: Alexandria via LeMat-Bulk
Functional: PBE-GGA
Structure: optimized geometry

Geometry as POSCAR:
```
BaAg3Pt
1.0
5.7853 0.0000 0.0000
0.0000 5.7853 0.0000
0.0000 0.0000 5.7853
Ba Ag Pt
1 3 1
direct
0.0000 0.0000 0.0000 Ba
0.0000 0.0000 0.5000 Ag
0.0000 0.5000 0.0000 Ag
0.5000 0.0000 0.0000 Ag
0.5000 0.5000 0.5000 Pt
```

Values from the calculation:
Distance to the lowest polymorph of the same formula   1.6206 eV/atom
Formation energy   1.60 eV/atom
Total moment   0.0 Bohr magnetons per cell

=====

# 5
Compound: TiZnAs2Se
Source: Alexandria via LeMat-Bulk
Functional: PBE-GGA
Structure: optimized geometry

Geometry as POSCAR:
```
TiZnAs2Se
1.0
4.7294 0.0000 0.0000
0.0000 4.7294 0.0000
0.0000 0.0000 4.9143
Ti Zn As Se
1 1 2 1
direct
0.0000 0.0000 0.0000 Ti
0.5000 0.5000 0.5000 Zn
0.0000 0.5000 0.5000 As
0.5000 0.0000 0.5000 As
0.5000 0.5000 0.0000 Se
```

Values from the calculation:
Formation energy (no corrections)   3.175 eV per formula unit
Distance to the lowest polymorph of the same formula   0.5414 eV/atom
Total moment   0.0 Bohr magnetons per cell

=====

# 6
Compound: MnHgBr
Source: Alexandria via LeMat-Bulk
Functional: PBE-GGA
Structure: optimized geometry

Geometry as POSCAR:
```
MnHgBr
1.0
6.8387 0.0000 0.0000
0.0000 6.8387 0.0000
0.0000 0.0000 6.8387
Mn Hg Br
4 4 4
direct
0.0000 0.0000 0.0000 Mn
0.0000 0.5000 0.5000 Mn
0.5000 0.0000 0.5000 Mn
0.5000 0.5000 0.0000 Mn
0.2500 0.2500 0.7500 Hg
0.2500 0.7500 0.2500 Hg
0.7500 0.2500 0.2500 Hg
0.7500 0.7500 0.7500 Hg
0.2500 0.2500 0.2500 Br
0.2500 0.7500 0.7500 Br
0.7500 0.2500 0.7500 Br
0.7500 0.7500 0.2500 Br
```

Values from the calculation:
Formation energy (no corrections)   0.718 eV per formula unit
Distance to the lowest polymorph of the same formula   0.2964 eV/atom
Total moment   18.7 Bohr magnetons per cell

=====

# 7
Compound: Tl5CdHg
Source: Alexandria via LeMat-Bulk
Functional: PBE-GGA
Structure: optimized geometry

Geometry as POSCAR:
```
Tl5CdHg
1.0
6.2691 0.0000 0.0000
0.0000 6.3833 0.0000
0.0000 0.0000 11.0898
Tl Cd Hg
10 2 2
direct
0.0000 0.0000 0.0000 Tl
0.0000 0.2593 0.2607 Tl
0.0000 0.7407 0.2607 Tl
0.2438 0.5000 0.9828 Tl
0.2562 0.0000 0.4828 Tl
0.5000 0.2407 0.7607 Tl
0.5000 0.5000 0.5000 Tl
0.5000 0.7593 0.7607 Tl
0.7438 0.0000 0.4828 Tl
0.7562 0.5000 0.9828 Tl
0.0000 0.5000 0.6582 Cd
0.5000 0.0000 0.1582 Cd
0.0000 0.0000 0.7300 Hg
0.5000 0.5000 0.2300 Hg
```

Values from the calculation:
Distance to the lowest polymorph of the same formula   0.0360 eV/atom
Formation energy   0.09 eV/atom
Total moment   0.0 Bohr magnetons per cell

=====

# 8
Compound: Al5ZnGa4
Source: Alexandria via LeMat-Bulk
Functional: PBE-GGA
Structure: optimized geometry

Geometry as POSCAR:
```
Al5ZnGa4
1.0
7.1459 -1.4442 0.0000
7.1459 1.4442 0.0000
-3.5351 0.0000 9.0830
Al Zn Ga
5 1 4
direct
0.0000 0.0000 0.0000 Al
0.3242 0.3242 0.4760 Al
0.3346 0.3346 0.9863 Al
0.6654 0.6654 0.0137 Al
0.6758 0.6758 0.5240 Al
0.0000 0.0000 0.5000 Zn
0.1608 0.1608 0.7581 Ga
0.4710 0.4710 0.7436 Ga
0.5290 0.5290 0.2564 Ga
0.8392 0.8392 0.2419 Ga
```

Values from the calculation:
Distance to the lowest polymorph of the same formula   0.0594 eV/atom
Formation energy   0.10 eV/atom
Total moment   0.0 Bohr magnetons per cell